No. 1
DFT (PBE) results for crystalline LaOsN3 at its relaxed geometry.

Values from the calculation:
* formation energy (no corrections): 163 kJ/mol of formula units

Lattice parameters (Å, degrees): 4.1097 4.1097 8.2324 90.00 90.00 120.00
Closest atoms and distances in Å follow each position.
Atoms (fractional coordinates):
N (0.0000, 0.0000, 0.2500)  2 Os 2.06
N (0.0000, 0.0000, 0.7500)  2 Os 2.06
N (0.3333, 0.6667, 0.0439)  3 Os 2.40, 1 La 2.42, 3 N 2.48
N (0.3333, 0.6667, 0.4561)  3 Os 2.40, 1 La 2.42, 3 N 2.48
N (0.6667, 0.3333, 0.5439)  3 Os 2.40, 1 La 2.42, 3 N 2.48
N (0.6667, 0.3333, 0.9561)  3 Os 2.40, 1 La 2.42, 3 N 2.48
Os (0.0000, 0.0000, 0.0000)  2 N 2.06
Os (0.0000, 0.0000, 0.5000)  2 N 2.06
La (0.3333, 0.6667, 0.7500)  5 N 2.37-2.42
La (0.6667, 0.3333, 0.2500)  5 N 2.37-2.42



No. 2
DFT (PBE) results for crystalline LaOsN at its relaxed geometry.

Values from the calculation:
* formation energy (no corrections): -79 kJ/mol of formula units

Lattice parameters (Å, degrees): 3.3969 5.8626 10.9994 90.00 90.00 90.00
Closest atoms and distances in Å follow each position.
Atoms (fractional coordinates):
Os (0.7500, 0.8535, 0.9255)  2 N 1.96
Os (0.2500, 0.6465, 0.4255)  2 N 1.96
Os (0.2500, 0.1465, 0.0745)  2 N 1.96
Os (0.7500, 0.3535, 0.5745)  2 N 1.96
N (0.7500, 0.3005, 0.1086)  2 Os 1.96
N (0.2500, 0.1995, 0.6086)  2 Os 1.96
N (0.2500, 0.6995, 0.8914)  2 Os 1.96
N (0.7500, 0.8005, 0.3914)  2 Os 1.96
La (0.7500, 0.3639, 0.8607)  3 N 2.62-2.75
La (0.2500, 0.1361, 0.3607)  3 N 2.62-2.75
La (0.2500, 0.6361, 0.1393)  3 N 2.62-2.75
La (0.7500, 0.8639, 0.6393)  3 N 2.62-2.75



No. 3
DFT (PBE) results for crystalline LaOsN3 at its relaxed geometry.

Values from the calculation:
* formation energy (no corrections): -129 kJ/mol of formula units

Lattice parameters (Å, degrees): 7.0681 3.9892 5.9623 87.31 114.45 92.68
Closest atoms and distances in Å follow each position.
Atoms (fractional coordinates):
N (0.1191, 0.2527, 0.1863)  1 N 1.39
N (0.2481, 0.9877, 0.3037)  1 N 1.39
N (0.9046, 0.6831, 0.3982)  1 N 1.21
N (0.3093, 0.7824, 0.8514)  2 Os 1.98-2.15
N (0.7371, 0.8112, 0.3122)  1 N 1.21
N (0.6947, 0.2098, 0.7480)  1 Os 1.80
Os (0.1750, 0.5514, 0.4979)  1 N 1.85
Os (0.4282, 0.0655, 0.6573)  3 N 1.80-1.99
La (0.4705, 0.3174, 0.1462)  6 N 2.45-2.72
La (0.9610, 0.7449, 0.8870)  7 N 2.55-2.79



No. 4
DFT (PBE) results for crystalline LaOsN3 at its relaxed geometry.

Values from the calculation:
* formation energy (no corrections): -136 kJ/mol of formula units

Lattice parameters (Å, degrees): 3.8918 3.8918 10.0180 78.80 78.80 90.00
Closest atoms and distances in Å follow each position.
Atoms (fractional coordinates):
N (0.2545, 0.9242, 0.1516)  1 N 1.32
N (0.0758, 0.7455, 0.8484)  1 N 1.32
N (0.0758, 0.4061, 0.8484)  1 N 1.32
N (0.5939, 0.9242, 0.1516)  1 N 1.32
N (0.2508, 0.2508, 0.4985)  2 Os 1.95
N (0.7492, 0.7492, 0.5015)  2 Os 1.95
Os (0.0000, 0.0000, 0.0000)  4 N 1.95
Os (0.2500, 0.7500, 0.5000)  4 N 1.95
La (0.6516, 0.1516, 0.6969)  8 N 2.71-2.75
La (0.8484, 0.3484, 0.3031)  8 N 2.71-2.75